The following is a GGA-PBE calculation of a relaxed ScPaNi crystal, from OQMD.

The space group is F-43m (No. 216) and the conventional cell measures 6.304, 6.304 and 6.304 Å, with angles of 90.00, 90.00 and 90.00 degrees. The asymmetric unit holds Sc at (0.000, 0.000, 0.000), Pa at (0.250, 0.250, 0.750) and Ni at (0.000, 0.000, 0.500).

The value obtained for the formation energy is 0.644 eV per atom. The calculation puts the final energy at -6.4864 eV per atom. Its total magnetization is 0.00 μB/f.u.